# Li2NiRh2, optimized geometry, DFT PBE
data_Li2NiRh2
_cell_length_a 4.2279
_cell_length_b 2.5743
_cell_length_c 9.3572
_cell_angle_alpha 97.91
_cell_angle_beta 103.06
_cell_angle_gamma 90.00
_space_group_name_H-M_alt 'P 1'
_space_group_IT_number 1
loop_
_space_group_symop_operation_xyz
'x,y,z'
loop_
_atom_site_label
_atom_site_type_symbol
_atom_site_fract_x
_atom_site_fract_y
_atom_site_fract_z
Rh1 Rh 0.2690 0.7690 0.5380
Rh2 Rh 0.7310 0.2310 0.4620
Li1 Li 0.8637 0.8637 0.7274
Li2 Li 0.1363 0.1363 0.2726
Ni1 Ni 0.0000 0.0000 0.0000
# DFT formation energy ... 2.433 eV/f.u.
# Symmetry ... Immm (71)
# Magnetic moment ... 0.7 μB/cell
# Density of states at the Fermi level ... 1.43 states/eV/atom